No. 1
The following is a DFT calculation (PBE) of a geometry-optimized Ce2NdCuN4 structure.

Geometry as extended XYZ:
```
16
Lattice="-0.710 1.673 3.042 3.017 -5.028 1.405 10.071 5.806 -0.844" Properties=species:S:1:pos:R:3 pbc="T T T"
Ce 7.576 0.142 1.689
Ce 0.919 0.070 2.239
Ce 4.802 2.309 1.914
Ce 11.459 2.381 1.364
Nd 8.106 3.485 -0.025
Nd 4.272 -1.034 3.629
Cu 9.009 2.339 2.879
Cu 3.369 0.112 0.724
N 2.564 -1.563 1.457
N 7.080 2.437 2.375
N 9.814 4.013 2.146
N 5.298 0.014 1.228
N 5.035 2.903 -0.422
N 0.000 0.000 0.000
N 9.952 0.576 2.005
N 2.426 1.874 1.599
```

Properties
* formation energy from raw total energies: -858 kJ/mol of formula units

***

No. 2
The following is a DFT calculation (PBE) of a geometry-optimized Ce2NpCuN5 structure.

Geometry as extended XYZ:
```
18
Lattice="-0.555 -1.929 2.798 6.880 0.857 -0.164 -0.930 8.554 5.713" Properties=species:S:1:pos:R:3 pbc="T T T"
Ce 3.917 5.838 6.921
Ce 0.767 5.822 4.166
Ce 1.376 2.580 2.051
Ce 4.752 0.519 3.420
Np 3.211 3.313 5.041
Np 2.635 0.023 0.538
Cu -1.038 7.331 6.967
Cu 6.024 3.916 3.895
N 4.685 -0.029 0.909
N 1.597 6.475 6.900
N 5.819 6.543 5.665
N 3.147 5.440 4.375
N 5.125 3.706 5.691
N 1.165 3.328 4.645
N 3.566 3.142 2.874
N -0.474 1.407 2.995
N 2.447 0.213 2.751
N 0.629 0.479 0.455
```

Properties
* formation energy from raw total energies: -788 kJ/mol of formula units
* Fermi-level density of states: 11.7 states/eV/cell

***

No. 3
The following is a DFT calculation (PBE) of a geometry-optimized Ce2CuN2O2 structure.

Geometry as extended XYZ:
```
7
Lattice="-1.953 1.953 5.967 1.953 -1.953 5.967 1.953 1.953 -5.967" Properties=species:S:1:pos:R:3 pbc="T T T"
Ce 0.000 0.000 7.640
Ce 0.000 0.000 4.294
Cu 0.000 0.000 0.000
N 0.000 1.953 0.000
N 1.953 0.000 0.000
O 0.000 1.953 2.984
O 1.953 0.000 2.984
```

Properties
* formation energy from raw total energies: -1239 kJ/mol of formula units
* Fermi-level density of states: 1.9 states/eV/cell

***

No. 4
The following is a DFT calculation (PBE) of a geometry-optimized Ce2CuN2O2 structure.

Geometry as extended XYZ:
```
7
Lattice="3.179 -3.031 4.992 4.228 2.407 4.532 -5.835 0.866 -3.067" Properties=species:S:1:pos:R:3 pbc="T T T"
Ce 4.825 -0.406 6.203
Ce 2.583 -0.217 3.320
Cu 0.000 0.000 0.000
N 0.524 -1.238 3.343
N 1.048 1.481 3.113
O -1.328 -1.082 0.962
O -0.804 1.637 0.732
```

Properties
* formation energy from raw total energies: -1103 kJ/mol of formula units
* Fermi-level density of states: 3.5 states/eV/cell

***

No. 5
The following is a DFT calculation (PBE) of a geometry-optimized Ce2CuN2O2 structure.

Geometry as extended XYZ:
```
7
Lattice="-1.201 2.470 -2.610 -1.374 -3.531 0.042 -6.514 2.600 5.459" Properties=species:S:1:pos:R:3 pbc="T T T"
Ce -3.390 1.320 0.059
Ce -5.700 0.219 2.831
Cu 0.000 0.000 0.000
N -5.088 1.998 1.483
N -4.001 -0.459 1.407
O -5.195 2.074 4.353
O -1.319 0.526 1.105
```

Properties
* formation energy from raw total energies: -1099 kJ/mol of formula units
* Fermi-level density of states: 6.2 states/eV/cell

***

No. 6
The following is a DFT calculation (PBE) of a geometry-optimized CeCu2PN structure.

Geometry as extended XYZ:
```
10
Lattice="-0.540 1.615 3.186 3.162 -4.892 0.967 5.829 3.603 -0.838" Properties=species:S:1:pos:R:3 pbc="T T T"
Ce 7.042 -1.068 1.735
Ce 1.410 1.393 1.581
Cu 6.468 1.966 0.100
Cu 1.984 -1.640 3.215
Cu 4.277 0.612 0.415
Cu 4.175 -0.286 2.900
P 5.482 1.560 2.186
P 2.970 -1.235 1.129
N 0.000 0.000 0.000
N 2.915 1.801 -0.419
```

Properties
* formation energy from raw total energies: -351 kJ/mol of formula units
* Fermi-level density of states: 5.2 states/eV/cell

***

No. 7
The following is a DFT calculation (PBE) of a geometry-optimized CeCuPN structure.

Geometry as extended XYZ:
```
8
Lattice="-0.091 3.257 -2.279 -1.519 -2.135 -2.991 -7.427 1.621 2.614" Properties=species:S:1:pos:R:3 pbc="T T T"
Ce -4.800 2.666 0.534
Ce -3.432 -0.484 -0.554
Cu -0.805 0.561 -2.635
Cu 0.000 0.000 0.000
P -7.037 0.303 0.715
P -1.195 1.879 -0.735
N -3.714 0.811 1.307
N -4.518 1.372 -1.327
```

Properties
* formation energy from raw total energies: -353 kJ/mol of formula units
* Fermi-level density of states: 5.6 states/eV/cell

***

No. 8
The following is a DFT calculation (PBE) of a geometry-optimized CePa2CuN4 structure.

Geometry as extended XYZ:
```
16
Lattice="-2.047 1.992 -2.103 -2.266 -5.591 -0.099 -6.718 2.563 8.964" Properties=species:S:1:pos:R:3 pbc="T T T"
Ce -5.694 1.007 6.494
Ce -5.336 -2.042 0.268
Pa -6.178 -1.981 4.136
Pa -2.253 -0.046 -0.842
Pa -4.852 0.946 2.626
Pa -8.777 -0.989 7.603
Cu -8.239 -0.123 4.910
Cu -2.791 -0.912 1.852
N -2.486 -2.172 0.362
N -6.648 0.413 3.869
N -8.544 1.137 6.400
N -4.382 -1.448 2.892
N -3.359 1.282 4.482
N 0.000 0.000 0.000
N -7.930 -2.117 5.711
N -3.100 1.081 1.050
```

Properties
* formation energy from raw total energies: -939 kJ/mol of formula units
* Fermi-level density of states: 20.3 states/eV/cell